(1)
Computed, not measured: an optimized crystal structure of CeSmAs2Rh5 at the PBE-GGA level of DFT. Values from VASP.

Results
energy of formation from the pure elements	-216	kJ/mol of formula units
total energy	-6.55	eV/atom
calculated volume	207.8	Å³/cell
mass density	7.63	g cm⁻³

Quantum ESPRESSO input file:
```
&SYSTEM
  ibrav = 0, nat = 9, ntyp = 4
/
ATOMIC_SPECIES
Ce 140.12 Ce.upf
Sm 150.36 Sm.upf
As 74.92 As.upf
Rh 102.91 Rh.upf
ATOMIC_POSITIONS angstrom
Ce 0.0000 0.0000 0.0000
Sm 2.0368 2.0368 6.2624
As 0.0000 0.0000 2.8648
As 0.0000 0.0000 9.6599
Rh 0.0000 0.0000 6.2624
Rh 0.0000 2.0368 4.1400
Rh 0.0000 2.0368 8.3848
Rh 2.0368 0.0000 4.1400
Rh 2.0368 0.0000 8.3848
CELL_PARAMETERS angstrom
4.0736 0.0000 0.0000
0.0000 4.0736 0.0000
0.0000 0.0000 12.5247
```

=====

(2)
Computed, not measured: an optimized crystal structure of CeSmAs2Rh2 at the PBE-GGA level of DFT. Values from VASP.

Results
energy of formation from the pure elements	-644	kJ/mol of formula units
total energy	-6.89	eV/atom
calculated volume	123.3	Å³/cell
mass density	8.70	g cm⁻³

Quantum ESPRESSO input file:
```
&SYSTEM
  ibrav = 0, nat = 6, ntyp = 4
/
ATOMIC_SPECIES
Ce 140.12 Ce.upf
Sm 150.36 Sm.upf
As 74.92 As.upf
Rh 102.91 Rh.upf
ATOMIC_POSITIONS angstrom
Ce 0.0000 0.0000 0.0000
Sm 0.0000 0.0000 3.9143
As 0.0000 2.4617 2.0379
As 2.1319 1.2309 5.7908
Rh 0.0000 2.4617 6.0069
Rh 2.1319 1.2309 1.8218
CELL_PARAMETERS angstrom
4.2638 0.0000 0.0000
-2.1319 3.6926 0.0000
0.0000 0.0000 7.8286
```

=====

(3)
Computed, not measured: an optimized crystal structure of Ce2SmAs2Rh7 at the PBE-GGA level of DFT. Values from VASP.

Results
energy of formation from the pure elements	-848	kJ/mol of formula units
total energy	-7.18	eV/atom
calculated volume	218.5	Å³/cell
mass density	9.89	g cm⁻³

Quantum ESPRESSO input file:
```
&SYSTEM
  ibrav = 0, nat = 12, ntyp = 4
/
ATOMIC_SPECIES
Ce 140.12 Ce.upf
Sm 150.36 Sm.upf
As 74.92 As.upf
Rh 102.91 Rh.upf
ATOMIC_POSITIONS angstrom
Ce -0.0247 0.0000 4.4897
Ce 3.0509 0.0000 8.4816
Sm 0.0000 0.0000 0.0000
As 0.1236 0.0000 9.5156
As 2.9026 0.0000 3.4556
Rh 1.4525 1.4493 2.1449
Rh 0.1693 0.0000 7.0040
Rh 1.5737 1.4493 10.8264
Rh 2.9068 0.0000 0.0000
Rh 1.4525 -1.4493 2.1449
Rh 2.8569 0.0000 5.9672
Rh 1.5737 -1.4493 10.8264
CELL_PARAMETERS angstrom
2.9068 -2.8973 0.0000
2.9068 2.8973 0.0000
-2.7874 0.0000 12.9713
```

=====

(4)
Computed, not measured: an optimized crystal structure of Ce2SnAs3Rh4 at the PBE-GGA level of DFT. Values from VASP.

Results
energy of formation from the pure elements	-824	kJ/mol of formula units
total energy	-6.78	eV/atom
calculated volume	189.0	Å³/cell
mass density	9.09	g cm⁻³

Quantum ESPRESSO input file:
```
&SYSTEM
  ibrav = 0, nat = 10, ntyp = 4
/
ATOMIC_SPECIES
Ce 140.12 Ce.upf
Sn 118.71 Sn.upf
As 74.92 As.upf
Rh 102.91 Rh.upf
ATOMIC_POSITIONS angstrom
Ce 0.0000 2.0718 2.6135
Ce 2.0718 0.0000 8.3977
Sn 0.0000 0.0000 5.5056
As 0.0000 2.0718 9.5785
As 2.0718 0.0000 1.4327
As 2.0718 2.0718 5.5056
Rh 0.0000 0.0000 0.0000
Rh 0.0000 2.0718 7.1808
Rh 2.0718 0.0000 3.8303
Rh 2.0718 2.0718 0.0000
CELL_PARAMETERS angstrom
4.1435 0.0000 0.0000
0.0000 4.1435 0.0000
0.0000 0.0000 11.0112
```

=====

(5)
Computed, not measured: an optimized crystal structure of Ce4SnAs3Rh12 at the PBE-GGA level of DFT. Values from VASP.

Results
energy of formation from the pure elements	-402	kJ/mol of formula units
total energy	-6.70	eV/atom
calculated volume	409.9	Å³/cell
mass density	8.67	g cm⁻³

Quantum ESPRESSO input file:
```
&SYSTEM
  ibrav = 0, nat = 20, ntyp = 4
/
ATOMIC_SPECIES
Ce 140.12 Ce.upf
Sn 118.71 Sn.upf
As 74.92 As.upf
Rh 102.91 Rh.upf
ATOMIC_POSITIONS angstrom
Ce 2.3397 2.3397 -2.3397
Ce 2.3397 -2.3397 2.3397
Ce -2.3397 2.3397 2.3397
Ce 2.3397 2.3397 2.3397
Sn 0.0000 0.0000 0.0000
As 4.6794 0.0000 0.0000
As 0.0000 4.6794 0.0000
As 0.0000 0.0000 4.6794
Rh 2.4407 0.0000 0.0000
Rh 6.9182 0.0000 0.0000
Rh 4.6794 2.3397 0.0000
Rh 4.6794 0.0000 2.3397
Rh 0.0000 2.4407 0.0000
Rh 0.0000 0.0000 2.4407
Rh 2.3397 4.6794 0.0000
Rh 2.3397 0.0000 4.6794
Rh 0.0000 6.9182 0.0000
Rh 0.0000 0.0000 6.9182
Rh 0.0000 4.6794 2.3397
Rh 0.0000 2.3397 4.6794
CELL_PARAMETERS angstrom
-4.6794 4.6794 4.6794
4.6794 -4.6794 4.6794
4.6794 4.6794 -4.6794
```

=====

(6)
Computed, not measured: an optimized crystal structure of Ce3SnAs2Rh9 at the PBE-GGA level of DFT. Values from VASP.

Results
energy of formation from the pure elements	-662	kJ/mol of formula units
total energy	-6.94	eV/atom
calculated volume	324.4	Å³/cell
mass density	8.27	g cm⁻³

Quantum ESPRESSO input file:
```
&SYSTEM
  ibrav = 0, nat = 15, ntyp = 4
/
ATOMIC_SPECIES
Ce 140.12 Ce.upf
Sn 118.71 Sn.upf
As 74.92 As.upf
Rh 102.91 Rh.upf
ATOMIC_POSITIONS angstrom
Ce 0.0000 0.0000 0.0000
Ce 0.0000 3.7889 6.5140
Ce 3.2812 1.8944 2.1851
Sn 0.0000 0.0000 4.3496
As 0.0000 3.7889 1.6534
As 3.2812 1.8944 7.0457
Rh -1.6406 2.8416 0.0000
Rh 0.0000 1.5585 2.1875
Rh -1.9315 4.9040 2.1875
Rh 1.3497 0.7792 6.5117
Rh 3.2812 0.0000 0.0000
Rh 1.6406 2.8416 0.0000
Rh 1.9315 4.9040 2.1875
Rh 5.2128 0.7792 6.5117
Rh 3.2812 4.1248 6.5117
CELL_PARAMETERS angstrom
6.5625 0.0000 0.0000
-3.2812 5.6833 0.0000
0.0000 0.0000 8.6991
```

=====

(7)
Computed, not measured: an optimized crystal structure of Sr2CeAs3Rh4 at the PBE-GGA level of DFT. Values from VASP.

Results
energy of formation from the pure elements	-796	kJ/mol of formula units
total energy	-6.09	eV/atom
calculated volume	204.1	Å³/cell
mass density	7.74	g cm⁻³

Quantum ESPRESSO input file:
```
&SYSTEM
  ibrav = 0, nat = 10, ntyp = 4
/
ATOMIC_SPECIES
Sr 87.62 Sr.upf
Ce 140.12 Ce.upf
As 74.92 As.upf
Rh 102.91 Rh.upf
ATOMIC_POSITIONS angstrom
Sr 0.0000 2.1342 2.5465
Sr 2.1342 0.0000 8.6560
Ce 0.0000 0.0000 5.6012
As 0.0000 2.1342 9.7920
As 2.1342 0.0000 1.4105
As 2.1342 2.1342 5.6012
Rh 0.0000 0.0000 0.0000
Rh 0.0000 2.1342 7.2839
Rh 2.1342 0.0000 3.9186
Rh 2.1342 2.1342 0.0000
CELL_PARAMETERS angstrom
4.2683 0.0000 0.0000
0.0000 4.2683 0.0000
0.0000 0.0000 11.2025
```

=====

(8)
Computed, not measured: an optimized crystal structure of SrCeAs2Rh2 at the PBE-GGA level of DFT. Values from VASP.

Results
energy of formation from the pure elements	-565	kJ/mol of formula units
total energy	-6.25	eV/atom
calculated volume	131.9	Å³/cell
mass density	7.35	g cm⁻³

Quantum ESPRESSO input file:
```
&SYSTEM
  ibrav = 0, nat = 6, ntyp = 4
/
ATOMIC_SPECIES
Sr 87.62 Sr.upf
Ce 140.12 Ce.upf
As 74.92 As.upf
Rh 102.91 Rh.upf
ATOMIC_POSITIONS angstrom
Sr 0.0000 0.0000 0.0000
Ce 0.0000 0.0000 4.1872
As 0.0000 2.4617 2.2018
As 2.1319 1.2309 6.1725
Rh 0.0000 2.4617 6.0418
Rh 2.1319 1.2309 2.3325
CELL_PARAMETERS angstrom
4.2638 0.0000 0.0000
-2.1319 3.6926 0.0000
0.0000 0.0000 8.3744
```

=====

(9)
Computed, not measured: an optimized crystal structure of Ce2TaAs4Rh3 at the PBE-GGA level of DFT. Values from VASP.

Results
energy of formation from the pure elements	-796	kJ/mol of formula units
total energy	-7.26	eV/atom
calculated volume	190.2	Å³/cell
mass density	9.34	g cm⁻³

Quantum ESPRESSO input file:
```
&SYSTEM
  ibrav = 0, nat = 10, ntyp = 4
/
ATOMIC_SPECIES
Ce 140.12 Ce.upf
Ta 180.95 Ta.upf
As 74.92 As.upf
Rh 102.91 Rh.upf
ATOMIC_POSITIONS angstrom
Ce 0.0000 2.1654 2.3708
Ce 2.1654 0.0000 7.7706
Ta 0.0000 0.0000 5.0707
As 0.0000 0.0000 0.0000
As 0.0000 2.1654 6.5016
As 2.1654 0.0000 3.6398
As 2.1654 2.1654 0.0000
Rh 0.0000 2.1654 8.9628
Rh 2.1654 0.0000 1.1786
Rh 2.1654 2.1654 5.0707
CELL_PARAMETERS angstrom
4.3309 0.0000 0.0000
0.0000 4.3309 0.0000
0.0000 0.0000 10.1414
```

=====

(10)
Computed, not measured: an optimized crystal structure of TbCe2As3Rh4 at the PBE-GGA level of DFT. Values from VASP.

Results
energy of formation from the pure elements	-913	kJ/mol of formula units
total energy	-6.93	eV/atom
calculated volume	194.3	Å³/cell
mass density	9.19	g cm⁻³

Quantum ESPRESSO input file:
```
&SYSTEM
  ibrav = 0, nat = 10, ntyp = 4
/
ATOMIC_SPECIES
Tb 158.93 Tb.upf
Ce 140.12 Ce.upf
As 74.92 As.upf
Rh 102.91 Rh.upf
ATOMIC_POSITIONS angstrom
Tb 0.0000 0.0000 0.0000
Ce 0.0000 2.0546 8.3520
Ce 2.0546 0.0000 3.1556
As 0.0000 2.0546 4.2984
As 2.0546 0.0000 7.2093
As 2.0546 2.0546 0.0000
Rh 0.0000 0.0000 5.7538
Rh 0.0000 2.0546 1.8691
Rh 2.0546 0.0000 9.6385
Rh 2.0546 2.0546 5.7538
CELL_PARAMETERS angstrom
4.1093 0.0000 0.0000
0.0000 4.1093 0.0000
0.0000 0.0000 11.5076
```

=====

(11)
Computed, not measured: an optimized crystal structure of CeTcAs2Rh at the PBE-GGA level of DFT. Values from VASP.

Results
energy of formation from the pure elements	-362	kJ/mol of formula units
total energy	-7.34	eV/atom
calculated volume	92.9	Å³/cell
mass density	8.78	g cm⁻³

Quantum ESPRESSO input file:
```
&SYSTEM
  ibrav = 0, nat = 5, ntyp = 4
/
ATOMIC_SPECIES
Ce 140.12 Ce.upf
Tc 98.00 Tc.upf
As 74.92 As.upf
Rh 102.91 Rh.upf
ATOMIC_POSITIONS angstrom
Ce 0.0000 0.0000 0.0000
Tc 0.0000 2.1034 2.6242
As 0.0000 0.0000 3.9058
As 0.0000 0.0000 6.5910
Rh 2.1034 0.0000 2.6242
CELL_PARAMETERS angstrom
-2.1034 2.1034 5.2484
2.1034 -2.1034 5.2484
2.1034 2.1034 -5.2484
```

=====

(12)
Computed, not measured: an optimized crystal structure of Ce2TeAs3Rh4 at the PBE-GGA level of DFT. Values from VASP.

Results
total energy	-6.66	eV/atom
energy relative to the elements, uncorrected	-8.21	eV per formula unit
calculated volume	193.3	Å³/cell
mass density	8.97	g cm⁻³

Quantum ESPRESSO input file:
```
&SYSTEM
  ibrav = 0, nat = 10, ntyp = 4
/
ATOMIC_SPECIES
Ce 140.12 Ce.upf
Te 127.60 Te.upf
As 74.92 As.upf
Rh 102.91 Rh.upf
ATOMIC_POSITIONS angstrom
Ce 0.0000 2.1855 2.4147
Ce 2.1855 0.0000 7.7046
Te 0.0000 0.0000 5.0597
As 0.0000 2.1855 8.7915
As 2.1855 0.0000 1.3278
As 2.1855 2.1855 5.0597
Rh 0.0000 0.0000 0.0000
Rh 0.0000 2.1855 6.3845
Rh 2.1855 0.0000 3.7349
Rh 2.1855 2.1855 0.0000
CELL_PARAMETERS angstrom
4.3711 0.0000 0.0000
0.0000 4.3711 0.0000
0.0000 0.0000 10.1193
```